Sm2EuTa: optimized geometry, PBE.

a b c (Å): 3.3037 3.3037 36.7784
angles (deg): 90.00 90.00 120.00
Last column: nearest neighbours and their distance in Å.
Space group R-3m (No. 166, hexagonal axes)
Unique sites:
Sm  0.0000  0.0000  0.0797 (multiplicity 6)  1 Ta 2.93
Eu  0.0000  0.0000  0.5000 (multiplicity 3)  6 Eu 3.30
Ta  0.0000  0.0000  0.0000 (multiplicity 3)  2 Sm 2.93

E_tot = -7.19 eV/atom
energy of formation = 0.70 eV per atom